# Sn3BiN

An optimized crystal structure of Sn3BiN (PBE-GGA, Alexandria).

a b c (Å): 4.9468 4.9468 4.9468
angles (deg): 90.00 90.00 90.00
Fractional coordinates of all 5 atoms:
1 Sn 0.0000 0.0000 0.5000
2 Sn 0.0000 0.5000 0.0000
3 Sn 0.5000 0.0000 0.0000
4 Bi 0.5000 0.5000 0.5000
5 N 0.0000 0.0000 0.0000

Values from the calculation:
**ΔE_f (raw)**: 0.381 eV per atom
**Polymorph energy (0 for the lowest one)**: 0 meV per atom

=====

# NpTlBr6

An optimized crystal structure of NpTlBr6 (PBE-GGA, Alexandria).

a b c (Å): 7.3755 7.3768 8.0059
angles (deg): 62.64 62.59 60.08
Fractional coordinates of all 8 atoms:
1 Np 0.0000 0.0000 0.0000
2 Tl 0.5000 0.5000 0.5000
3 Br 0.0351 0.8000 0.7711
4 Br 0.2002 0.6069 0.2282
5 Br 0.3935 0.0355 0.7712
6 Br 0.6065 0.9645 0.2288
7 Br 0.7998 0.3931 0.7718
8 Br 0.9649 0.2000 0.2289

Values from the calculation:
**ΔE_f (raw)**: -1.036 eV per atom

=====

# KHg2Pt

An optimized crystal structure of KHg2Pt (PBE-GGA, Alexandria).

a b c (Å): 5.1213 5.1213 5.1213
angles (deg): 60.00 60.00 60.00
Fractional coordinates of all 4 atoms:
1 K 0.0000 0.0000 0.0000
2 Hg 0.2500 0.2500 0.2500
3 Hg 0.7500 0.7500 0.7500
4 Pt 0.5000 0.5000 0.5000

Values from the calculation:
**ΔH_f (0 K)**: 0.03 eV per atom
**Polymorph energy (0 for the lowest one)**: 202 meV per atom

=====

# SrLiErPb

An optimized crystal structure of SrLiErPb (PBE-GGA, Alexandria).

a b c (Å): 5.5140 5.5140 5.5140
angles (deg): 60.00 60.00 60.00
Fractional coordinates of all 4 atoms:
1 Sr 0.0000 0.0000 0.0000
2 Li 0.2500 0.2500 0.2500
3 Er 0.5000 0.5000 0.5000
4 Pb 0.7500 0.7500 0.7500

Values from the calculation:
**ΔH_f (0 K)**: -0.24 eV per atom

=====

# K4LiCa

An optimized crystal structure of K4LiCa (PBE-GGA, Alexandria).

a b c (Å): 7.9358 7.9358 7.9358
angles (deg): 60.00 60.00 60.00
Fractional coordinates of all 6 atoms:
1 K 0.1250 0.1250 0.1250
2 K 0.1250 0.1250 0.6251
3 K 0.1250 0.6251 0.1250
4 K 0.6251 0.1250 0.1250
5 Li 0.7500 0.7500 0.7500
6 Ca 0.5000 0.5000 0.5000

Values from the calculation:
**ΔH_f (0 K)**: 0.27 eV per atom

=====

# Sc4GaRhO

An optimized crystal structure of Sc4GaRhO (PBE-GGA, Alexandria).

a b c (Å): 7.6517 7.6517 6.0334
angles (deg): 90.00 90.00 133.63
Fractional coordinates of all 14 atoms:
1 Sc 0.0000 0.5000 0.0000
2 Sc 0.0000 0.5000 0.5000
3 Sc 0.0638 0.9362 0.7500
4 Sc 0.4203 0.5797 0.7500
5 Sc 0.5000 0.0000 0.0000
6 Sc 0.5000 0.0000 0.5000
7 Sc 0.5797 0.4203 0.2500
8 Sc 0.9362 0.0638 0.2500
9 Ga 0.3845 0.6155 0.2500
10 Ga 0.6155 0.3845 0.7500
11 Rh 0.1165 0.8835 0.2500
12 Rh 0.8835 0.1165 0.7500
13 O 0.2559 0.7441 0.7500
14 O 0.7441 0.2559 0.2500

Values from the calculation:
**ΔE_f (raw)**: -1.224 eV per atom

=====

Calculated values (Bohr magnetons per cell) of total magnetization for the records, taken in order: 0.00; 2.00; 0.00; 0.00; 0.00; 0.00.